The following is a PBE calculation of a geometry-optimized NaTm2Co structure, from the Alexandria database.

```
data_NaTm2Co
_symmetry_space_group_name_H-M 'R -3 m'
_symmetry_Int_Tables_number 166
_symmetry_space_group_name_Hall '-R 3 2"'
_cell_length_a 3.7476
_cell_length_b 3.7476
_cell_length_c 30.4755
_cell_angle_alpha 90.00
_cell_angle_beta 90.00
_cell_angle_gamma 120.00
loop_
_atom_site_label
_atom_site_type_symbol
_atom_site_fract_x
_atom_site_fract_y
_atom_site_fract_z
Na1 Na 0.0000 0.0000 0.0000
Tm1 Tm 0.0000 0.0000 0.1195
Co1 Co 0.0000 0.0000 0.5000
```

Output
* energy of formation: 27 meV per atom
* relative energy among the computed polymorphs: 0.091 eV/atom
* calculated total energy: -0.31711 Ry per atom
* size of the total moment: 0.00 μB per cell